Computed, not measured: a relaxed MgSiAgRh2 crystal at the GGA-PBE level of DFT.

E_form (uncorrected) in kJ/mol of formula units: -30
Total moment in μB/f.u.: 0.00
Raw total energy in eV/atom: -4.98

abc: 4.434 4.434 4.657
angles: 90.00 90.00 90.00
Positions (direct):
Mg 0.000 0.000 0.000
Si 0.500 0.500 0.500
Ag 0.500 0.500 0.000
Rh 0.000 0.500 0.500
Rh 0.500 0.000 0.500